[1]
# PuTh3H | the Alexandria database | PBE | optimized geometry
# **Total moment**: 5.466 μB per formula unit
# **Final energy**: -40.152 eV/cell
# **Volume**: 25.18 Å³/atom
# **Density of states at the Fermi level**: 1.848 states/eV per atom
data_PuTh3H
_space_group_name_H-M_alt 'P m -3 m'
_space_group_IT_number 221
_space_group_name_Hall '-P 4 2 3'
_cell_length_a 5.0119
_cell_length_b 5.0119
_cell_length_c 5.0119
_cell_angle_alpha 90.00
_cell_angle_beta 90.00
_cell_angle_gamma 90.00
loop_
_atom_site_label
_atom_site_fract_x
_atom_site_fract_y
_atom_site_fract_z
Pu1 0.0000 0.0000 0.0000
Th1 0.0000 0.5000 0.5000
H1 0.5000 0.5000 0.5000

---

[2]
# Be3ReN4 | the Alexandria database | PBE | optimized geometry
# **Total moment**: 0.000 μB per formula unit
# **Final energy**: -122.866 eV/cell
# **Volume**: 8.86 Å³/atom
# **Formation energy (no corrections)**: -0.563 eV per atom
# **Density of states at the Fermi level**: 0.266 states/eV per atom
data_Be3ReN4
_space_group_name_H-M_alt 'P m n 21'
_space_group_IT_number 31
_cell_length_a 5.9777
_cell_length_b 5.1547
_cell_length_c 4.6007
_cell_angle_alpha 90.00
_cell_angle_beta 90.00
_cell_angle_gamma 90.00
loop_
_space_group_symop_operation_xyz
'x,y,z'
'-x+1/2,-y,z+1/2'
'-x,y,z'
'x+1/2,-y,z+1/2'
loop_
_atom_site_label
_atom_site_fract_x
_atom_site_fract_y
_atom_site_fract_z
Be1 0.0000 0.1762 0.9999
Be2 0.2491 0.6609 0.0000
Re1 0.0000 0.8353 0.5271
N1 0.0000 0.1901 0.6119
N2 0.0000 0.8356 0.1101
N3 0.2349 0.3403 0.1155

---

[3]
# Pm2Sn4RuPt3 | the Alexandria database | PBE | optimized geometry
# **Total moment**: 0.000 μB per formula unit
# **Final energy**: -60.187 eV/cell
# **Formation energy from the elements**: -0.73 eV per atom
# **Volume**: 22.18 Å³/atom
# **Density of states at the Fermi level**: 0.448 states/eV per atom
data_Pm2Sn4RuPt3
_space_group_name_H-M_alt 'P -4 m 2'
_space_group_IT_number 115
_cell_length_a 4.4596
_cell_length_b 4.4596
_cell_length_c 11.1538
_cell_angle_alpha 90.00
_cell_angle_beta 90.00
_cell_angle_gamma 90.00
loop_
_space_group_symop_operation_xyz
'x,y,z'
'y,-x,-z'
'-x,-y,z'
'-y,x,-z'
'-x,y,z'
'-y,-x,-z'
'x,-y,z'
'y,x,-z'
loop_
_atom_site_label
_atom_site_fract_x
_atom_site_fract_y
_atom_site_fract_z
Pm1 0.0000 0.5000 0.2423
Sn1 0.0000 0.0000 0.5000
Sn2 0.0000 0.5000 0.8705
Sn3 0.5000 0.5000 0.5000
Ru1 0.5000 0.5000 0.0000
Pt1 0.0000 0.0000 0.0000
Pt2 0.0000 0.5000 0.6374

---

[4]
# CaTmPdO4 | the Alexandria database | PBE | optimized geometry
# **Total moment**: 0.000 μB per formula unit
# **Final energy**: -189.115 eV/cell
# **Volume**: 13.89 Å³/atom
# **Formation energy (no corrections)**: -2.254 eV per atom
# **Density of states at the Fermi level**: 0.312 states/eV per atom
data_CaTmPdO4
_space_group_name_H-M_alt 'I m m a'
_space_group_IT_number 74
_space_group_name_Hall '-I 2b 2'
_cell_length_a 6.8729
_cell_length_b 7.2836
_cell_length_c 7.7703
_cell_angle_alpha 90.00
_cell_angle_beta 90.00
_cell_angle_gamma 90.00
loop_
_atom_site_label
_atom_site_fract_x
_atom_site_fract_y
_atom_site_fract_z
Ca1 0.0000 0.2500 0.1809
Tm1 0.2500 0.2500 0.7500
Pd1 0.0000 0.0000 0.5000
O1 0.0000 0.0542 0.7594
O2 0.1922 0.2500 0.4643

---

[5]
# Dy3Al3Pd2 | the Alexandria database | PBE | optimized geometry
# **Total moment**: 0.000 μB per formula unit
# **Final energy**: -164.152 eV/cell
# **Formation energy from the elements**: -0.70 eV per atom
# **Volume**: 21.52 Å³/atom
# **Density of states at the Fermi level**: 0.794 states/eV per atom
data_Dy3Al3Pd2
_space_group_name_H-M_alt 'P n m a'
_space_group_IT_number 62
_cell_length_a 8.1748
_cell_length_b 15.1604
_cell_length_c 5.5566
_cell_angle_alpha 90.00
_cell_angle_beta 90.00
_cell_angle_gamma 90.00
loop_
_space_group_symop_operation_xyz
'x,y,z'
'-x,-y,-z'
'-x+1/2,-y,z+1/2'
'x+1/2,y,-z+1/2'
'x+1/2,-y+1/2,-z+1/2'
'-x+1/2,y+1/2,z+1/2'
'-x,y+1/2,-z'
'x,-y+1/2,z'
loop_
_atom_site_label
_atom_site_fract_x
_atom_site_fract_y
_atom_site_fract_z
Dy1 0.0383 0.1118 0.1159
Dy2 0.1820 0.2500 0.6187
Al1 0.1681 0.7500 0.6134
Al2 0.1859 0.0344 0.6082
Pd1 0.0987 0.6068 0.3744

---

[6]
# Ac7AlSn4 | the Alexandria database | PBE | optimized geometry
# **Total moment**: 0.000 μB per formula unit
# **Final energy**: -104.796 eV/cell
# **Formation energy from the elements**: -0.32 eV per atom
# **Volume**: 39.43 Å³/atom
# **Density of states at the Fermi level**: 0.785 states/eV per atom
data_Ac7AlSn4
_space_group_name_H-M_alt 'C 1 2/m 1'
_space_group_IT_number 12
_cell_length_a 16.4982
_cell_length_b 5.9885
_cell_length_c 11.8629
_cell_angle_alpha 90.00
_cell_angle_beta 126.16
_cell_angle_gamma 90.00
loop_
_space_group_symop_operation_xyz
'x,y,z'
'-x,-y,-z'
'-x,y,-z'
'x,-y,z'
'x+1/2,y+1/2,z'
'-x+1/2,-y+1/2,-z'
'-x+1/2,y+1/2,-z'
'x+1/2,-y+1/2,z'
loop_
_atom_site_label
_atom_site_fract_x
_atom_site_fract_y
_atom_site_fract_z
Ac1 0.0000 0.0000 0.0000
Ac2 0.0776 0.5000 0.3175
Ac3 0.1515 0.0000 0.5702
Ac4 0.2055 0.5000 0.8710
Al1 0.0000 0.5000 0.0000
Sn1 0.0766 0.0000 0.7789
Sn2 0.2180 0.0000 0.3365

---

[7]
# RbY3Cu | the Alexandria database | PBE | optimized geometry
# **Total moment**: 0.001 μB per formula unit
# **Polymorph energy (0 for the lowest one)**: 0 meV/atom
# **Final energy**: -22.781 eV/cell
# **Formation energy from the elements**: 0.33 eV per atom
# **Volume**: 35.11 Å³/atom
# **Density of states at the Fermi level**: 1.747 states/eV per atom
data_RbY3Cu
_space_group_name_H-M_alt 'P m -3 m'
_space_group_IT_number 221
_space_group_name_Hall '-P 4 2 3'
_cell_length_a 5.5991
_cell_length_b 5.5991
_cell_length_c 5.5991
_cell_angle_alpha 90.00
_cell_angle_beta 90.00
_cell_angle_gamma 90.00
loop_
_atom_site_label
_atom_site_fract_x
_atom_site_fract_y
_atom_site_fract_z
Rb1 0.0000 0.0000 0.0000
Y1 0.0000 0.5000 0.5000
Cu1 0.5000 0.5000 0.5000

---

[8]
# BiAsN2 | the Alexandria database | PBE | optimized geometry
# **Total moment**: 0.000 μB per formula unit
# **Polymorph energy (0 for the lowest one)**: 136 meV/atom
# **Final energy**: -87.272 eV/cell
# **Volume**: 16.66 Å³/atom
# **Formation energy (no corrections)**: 0.841 eV per atom
# **Density of states at the Fermi level**: 0.107 states/eV per atom
data_BiAsN2
_space_group_name_H-M_alt 'I -4 2 d'
_space_group_IT_number 122
_space_group_name_Hall 'I -4 2bw'
_cell_length_a 5.4776
_cell_length_b 5.4776
_cell_length_c 8.8859
_cell_angle_alpha 90.00
_cell_angle_beta 90.00
_cell_angle_gamma 90.00
loop_
_atom_site_label
_atom_site_fract_x
_atom_site_fract_y
_atom_site_fract_z
Bi1 0.0000 0.0000 0.0000
As1 0.0000 0.0000 0.5000
N1 0.1521 0.2500 0.6250

---

[9]
# Pr3Nd5Cd | the Alexandria database | PBE | optimized geometry
# **Total moment**: 0.000 μB per formula unit
# **Final energy**: -146.063 eV/cell
# **Formation energy from the elements**: 0.29 eV per atom
# **Volume**: 36.32 Å³/atom
# **Density of states at the Fermi level**: 1.544 states/eV per atom
data_Pr3Nd5Cd
_space_group_name_H-M_alt 'C 1 2/m 1'
_space_group_IT_number 12
_cell_length_a 10.8594
_cell_length_b 8.3150
_cell_length_c 14.4790
_cell_angle_alpha 90.00
_cell_angle_beta 90.30
_cell_angle_gamma 90.00
loop_
_space_group_symop_operation_xyz
'x,y,z'
'-x,-y,-z'
'-x,y,-z'
'x,-y,z'
'x+1/2,y+1/2,z'
'-x+1/2,-y+1/2,-z'
'-x+1/2,y+1/2,-z'
'x+1/2,-y+1/2,z'
loop_
_atom_site_label
_atom_site_fract_x
_atom_site_fract_y
_atom_site_fract_z
Pr1 0.0000 0.0000 0.0000
Pr2 0.0000 0.0000 0.5000
Pr3 0.1396 0.5000 0.0070
Pr4 0.2216 0.0000 0.6372
Nd1 0.0000 0.3283 0.5000
Nd2 0.0007 0.5000 0.2543
Nd3 0.2203 0.0000 0.3666
Nd4 0.2493 0.2344 0.1629
Cd1 0.0016 0.0000 0.7784

---

[10]
# Cs2NaSrI5 | the Alexandria database | PBE | optimized geometry
# **Total moment**: 0.000 μB per formula unit
# **Final energy**: -105.146 eV/cell
# **Volume**: 51.07 Å³/atom
# **Formation energy (no corrections)**: -1.536 eV per atom
# **Density of states at the Fermi level**: 0.000 states/eV per atom
data_Cs2NaSrI5
_space_group_name_H-M_alt 'C m c 21'
_space_group_IT_number 36
_cell_length_a 5.0374
_cell_length_b 22.0832
_cell_length_c 16.5281
_cell_angle_alpha 90.00
_cell_angle_beta 90.00
_cell_angle_gamma 90.00
loop_
_space_group_symop_operation_xyz
'x,y,z'
'-x,-y,z+1/2'
'-x,y,z'
'x,-y,z+1/2'
'x+1/2,y+1/2,z'
'-x+1/2,-y+1/2,z+1/2'
'-x+1/2,y+1/2,z'
'x+1/2,-y+1/2,z+1/2'
loop_
_atom_site_label
_atom_site_fract_x
_atom_site_fract_y
_atom_site_fract_z
Cs1 0.0000 0.0971 0.0000
Cs2 0.0000 0.1327 0.6398
Na1 0.0000 0.4465 0.7806
Sr1 0.0000 0.2146 0.3554
I1 0.0000 0.0662 0.3867
I2 0.0000 0.2750 0.9898
I3 0.0000 0.3059 0.7238
I4 0.0000 0.3609 0.3273
I5 0.0000 0.4983 0.1140

---

[11]
# BaMg4AlCd2 | the Alexandria database | PBE | optimized geometry
# **Total moment**: 0.000 μB per formula unit
# **Final energy**: -43.418 eV/cell
# **Formation energy from the elements**: -0.07 eV per atom
# **Volume**: 26.68 Å³/atom
# **Density of states at the Fermi level**: 0.465 states/eV per atom
data_BaMg4AlCd2
_space_group_name_H-M_alt 'R -3 m'
_space_group_IT_number 166
_space_group_name_Hall '-R 3 2"'
_cell_length_a 4.9100
_cell_length_b 4.9100
_cell_length_c 30.6738
_cell_angle_alpha 90.00
_cell_angle_beta 90.00
_cell_angle_gamma 120.00
loop_
_atom_site_label
_atom_site_fract_x
_atom_site_fract_y
_atom_site_fract_z
Ba1 0.0000 0.0000 0.0000
Mg1 0.0000 0.0000 0.1345
Mg2 0.0000 0.0000 0.4086
Al1 0.0000 0.0000 0.5000
Cd1 0.0000 0.0000 0.2414

---

[12]
# BaTlIn2Mo | the Alexandria database | PBE | optimized geometry
# **Total moment**: 3.595 μB per formula unit
# **Final energy**: -16.717 eV/cell
# **Formation energy from the elements**: 0.78 eV per atom
# **Volume**: 36.08 Å³/atom
# **Density of states at the Fermi level**: 0.659 states/eV per atom
data_BaTlIn2Mo
_space_group_name_H-M_alt 'P 4/m m m'
_space_group_IT_number 123
_space_group_name_Hall '-P 4 2'
_cell_length_a 5.7284
_cell_length_b 5.7284
_cell_length_c 5.4975
_cell_angle_alpha 90.00
_cell_angle_beta 90.00
_cell_angle_gamma 90.00
loop_
_atom_site_label
_atom_site_fract_x
_atom_site_fract_y
_atom_site_fract_z
Ba1 0.0000 0.0000 0.0000
Tl1 0.5000 0.5000 0.5000
In1 0.0000 0.5000 0.5000
Mo1 0.5000 0.5000 0.0000